The following is a PBE calculation of TaInGe2 after structural relaxation, from the Alexandria database.

a = 6.090 Å, b = 6.090 Å, c = 7.417 Å
α = 65.76°, β = 65.76°, γ = 90.00°
Fractional positions:
Ge1 0.098 0.625 0.250
Ge2 0.652 0.125 0.250
Ge3 0.375 0.348 0.750
Ge4 0.875 0.902 0.750
Ta1 0.000 0.000 0.000
Ta2 0.750 0.250 0.500
In1 0.500 0.500 0.000
In2 0.250 0.750 0.500

The space group is I-42d (122). Its final energy is -5.358 eV per atom.